[1]
First-principles (PBE-GGA) data for a relaxed GdNiSb crystal, as listed in Alexandria.

a b c (Å): 4.324 4.324 4.076
angles (deg): 90.00 90.00 120.00
Fractional coordinates of all 3 atoms:
1 Gd 0.000 0.000 0.000
2 Ni 0.333 0.667 0.497
3 Sb 0.667 0.333 0.500

Summary:
Calculated volume   22.00 Å³/atom
Raw formation energy   -0.813 eV/atom

---

[2]
First-principles (PBE-GGA) data for a relaxed SrTl3 crystal, as listed in Alexandria.

a b c (Å): 4.074 4.074 7.757
angles (deg): 90.00 90.00 90.00
Fractional coordinates of all 4 atoms:
1 Sr 0.000 0.000 0.000
2 Tl 0.000 0.000 0.500
3 Tl 0.500 0.500 0.269
4 Tl 0.500 0.500 0.731

Summary:
Calculated volume   32.19 Å³/atom
ΔE_f   -4.83 kcal/mol of atoms

---

Result set for raw total energy: -8.808, -2.405 eV/atom, one per record in the order listed.